The following is a DFT calculation (GGA+U) of a relaxed structure of Li2VP2O7.

* theoretical density: 2.711 g/cm³
* relative energy among the computed polymorphs: 0 meV per atom
* total magnetization: 0.250 μB/atom
* E: -6.986 eV per atom

```
data_Li2VP2O7
_cell_length_a 5.1039
_cell_length_b 8.5128
_cell_length_c 7.1393
_cell_angle_alpha 90.00
_cell_angle_beta 109.45
_cell_angle_gamma 90.00
_symmetry_space_group_name_H-M 'P 1 21 1'
_symmetry_Int_Tables_number 4
_symmetry_space_group_name_Hall 'P 2yb'
loop_
_atom_site_label
_atom_site_fract_x
_atom_site_fract_y
_atom_site_fract_z
Li1 0.1777 0.0000 0.1508
Li2 0.2711 0.3160 0.5987
V1 0.2077 0.6490 0.2209
P1 0.2087 0.9430 0.5853
P2 0.3889 0.3334 0.0228
O1 0.0684 0.4679 0.3798
O2 0.1484 0.8521 0.3890
O3 0.2083 0.1865 0.9974
O4 0.2228 0.4851 0.0026
O5 0.3717 0.0942 0.5875
O6 0.3964 0.8219 0.7515
O7 0.4403 0.8354 0.1202
```